# 1
Computed, not measured: crystalline Cd2P at its relaxed geometry at the PBE level of DFT.

The value obtained for the electronic total energy is -2.255 eV per atom. The total moment comes out at 0.00 μB/f.u. For the energy above the most stable polymorph in this dataset, the calculation gives 69.0 meV/atom. The calculation puts the formation energy at 158 meV/atom.

The structure belongs to space group Cmcm (No. 63); the cell edges are 4.177, 12.130 and 5.442 Å and the angles 90.00°, 90.00° and 90.00°. The asymmetric unit holds Cd at (0.000, 0.041, 0.250), Cd at (0.000, 0.326, 0.250) and P at (0.000, 0.331, 0.750).

=====

# 2
Computed, not measured: crystalline Na2SrBr at its relaxed geometry at the PBE level of DFT.

The value obtained for the electronic total energy is -2.098 eV per atom. The total moment comes out at 0.00 μB/f.u. For the energy above the most stable polymorph in this dataset, the calculation gives 10.1 meV/atom. The energy relative to the elements, uncorrected comes out at -0.600 eV/atom.

The structure belongs to space group R-3m (No. 166, hexagonal axes); the cell edges are 4.1494, 4.1494 and 33.6867 Å and the angles 90.00°, 90.00° and 120.00°. The asymmetric unit holds Na at (0.0000, 0.0000, 0.1131), Sr at (0.0000, 0.0000, 0.0000) and Br at (0.0000, 0.0000, 0.5000).

=====

# 3
Computed, not measured: crystalline Eu2DyMg at its relaxed geometry at the PBE level of DFT.

The value obtained for the electronic total energy is -6.606 eV per atom. The total moment comes out at 15.39 μB/f.u. For the energy above the most stable polymorph in this dataset, the calculation gives 36.2 meV/atom. The calculation puts the formation energy at 80 meV/atom.

The structure belongs to space group P4/mmm (No. 123); the cell edges are 5.111, 5.111 and 5.162 Å and the angles 90.00°, 90.00° and 90.00°. The asymmetric unit holds Eu at (0.000, 0.500, 0.000), Dy at (0.000, 0.000, 0.500) and Mg at (0.500, 0.500, 0.500).

=====

# 4
Computed, not measured: crystalline LaBe3Pt at its relaxed geometry at the PBE level of DFT.

The value obtained for the electronic total energy is -3.980 eV per atom. The total moment comes out at 0.00 μB/f.u. For the energy above the most stable polymorph in this dataset, the calculation gives 939.8 meV/atom. The calculation puts the formation energy at 449 meV/atom.

The structure belongs to space group P6_3/mmc (No. 194); the cell edges are 3.7704, 3.7704 and 17.3529 Å and the angles 90.00°, 90.00° and 120.00°. The asymmetric unit holds La at (0.0000, 0.0000, 0.0000), Be at (0.0000, 0.0000, 0.2500), Be at (0.3333, 0.6667, 0.1263) and Pt at (0.3333, 0.6667, 0.2500).

=====

# 5
Computed, not measured: crystalline BeSnB2 at its relaxed geometry at the PBE level of DFT.

The value obtained for the electronic total energy is -5.066 eV per atom. The total moment comes out at 0.00 μB/f.u. For the energy above the most stable polymorph in this dataset, the calculation gives 75.5 meV/atom. The calculation puts the formation energy at 205 meV/atom.

The structure belongs to space group P1 (No. 1); the cell edges are 3.550, 4.553 and 7.134 Å and the angles 74.70°, 86.77° and 81.81°. The asymmetric unit holds Be at (0.000, 0.000, 0.000), Be at (0.133, 0.237, 0.220), Sn at (0.072, 0.032, 0.581), Sn at (0.548, 0.458, 0.736), B at (0.313, 0.627, 0.127), B at (0.506, 0.946, 0.122), B at (0.628, 0.311, 0.086) and B at (0.816, 0.620, 0.135).

=====

# 6
Computed, not measured: crystalline Sr2LaMgPd at its relaxed geometry at the PBE level of DFT.

The value obtained for the electronic total energy is -3.201 eV per atom. The total moment comes out at 0.00 μB/f.u. The calculation puts the formation energy at -185 meV/atom.

The structure belongs to space group P4/mmm (No. 123); the cell edges are 5.980, 5.980 and 5.602 Å and the angles 90.00°, 90.00° and 90.00°. The asymmetric unit holds Sr at (0.000, 0.500, 0.000), La at (0.000, 0.000, 0.500), Mg at (0.500, 0.500, 0.500) and Pd at (0.000, 0.000, 0.000).

=====

# 7
Computed, not measured: crystalline Pm7Dy3Er at its relaxed geometry at the PBE level of DFT.

The value obtained for the electronic total energy is -4.456 eV per atom. The total moment comes out at 0.00 μB/f.u. For the energy above the most stable polymorph in this dataset, the calculation gives 55.6 meV/atom. The calculation puts the formation energy at 237 meV/atom.

The structure belongs to space group C2/m (No. 12); the cell edges are 12.783, 11.303 and 5.883 Å and the angles 90.00°, 117.40° and 90.00°. The asymmetric unit holds Pm at (0.000, 0.000, 0.000), Pm at (0.193, 0.290, 0.693), Pm at (0.210, 0.500, 0.211), Dy at (0.000, 0.295, 0.000), Dy at (0.000, 0.500, 0.500) and Er at (0.000, 0.000, 0.500).

=====

# 8
Computed, not measured: crystalline ReSiBiP2 at its relaxed geometry at the PBE level of DFT.

The value obtained for the electronic total energy is -3.942 eV per atom. The total moment comes out at 0.00 μB/f.u. The energy relative to the elements, uncorrected comes out at 2.573 eV/atom.

The structure belongs to space group P4/mmm (No. 123); the cell edges are 5.022, 5.022 and 5.098 Å and the angles 90.00°, 90.00° and 90.00°. The asymmetric unit holds Re at (0.000, 0.000, 0.000), Si at (0.500, 0.500, 0.000), Bi at (0.500, 0.500, 0.500) and P at (0.000, 0.500, 0.500).

=====

# 9
Computed, not measured: crystalline NaTi4O7 at its relaxed geometry at the PBE level of DFT.

The value obtained for the electronic total energy is -8.275 eV per atom. The total moment comes out at 1.05 μB/f.u. The energy relative to the elements, uncorrected comes out at -2.641 eV/atom.

The structure belongs to space group Pmn2_1 (No. 31); the cell edges are 13.643, 5.475 and 5.537 Å and the angles 90.00°, 90.00° and 90.00°. The asymmetric unit holds Na at (0.000, 0.183, 0.000), Ti at (0.125, 0.685, 0.741), Ti at (0.249, 0.850, 0.312), O at (0.000, 0.799, 0.811), O at (0.136, 0.681, 0.411), O at (0.144, 0.356, 0.832) and O at (0.203, 0.860, 0.978).

=====

# 10
Computed, not measured: crystalline Tl2RhBr at its relaxed geometry at the PBE level of DFT.

The value obtained for the electronic total energy is -3.369 eV per atom. The total moment comes out at 0.00 μB/f.u. For the energy above the most stable polymorph in this dataset, the calculation gives 139.8 meV/atom. The energy relative to the elements, uncorrected comes out at 0.070 eV/atom.

The structure belongs to space group Immm (No. 71); the cell edges are 3.277, 4.547 and 13.850 Å and the angles 90.00°, 90.00° and 90.00°. The asymmetric unit holds Tl at (0.000, 0.000, 0.173), Rh at (0.000, 0.500, 0.500) and Br at (0.000, 0.500, 0.000).

=====

# 11
Computed, not measured: crystalline Sr2TiZnH at its relaxed geometry at the PBE level of DFT.

The value obtained for the electronic total energy is -2.558 eV per atom. The total moment comes out at 3.44 μB/f.u.

The structure belongs to space group P4/mmm (No. 123); the cell edges are 6.361, 6.361 and 3.590 Å and the angles 90.00°, 90.00° and 90.00°. The asymmetric unit holds Sr at (0.000, 0.500, 0.000), Ti at (0.000, 0.000, 0.500), Zn at (0.500, 0.500, 0.000) and H at (0.500, 0.500, 0.500).

=====

# 12
Computed, not measured: crystalline SrSmPt2 at its relaxed geometry at the PBE level of DFT.

The value obtained for the electronic total energy is -5.535 eV per atom. The total moment comes out at 0.00 μB/f.u. For the energy above the most stable polymorph in this dataset, the calculation gives 74.7 meV/atom. The calculation puts the formation energy at -915 meV/atom.

The structure belongs to space group Fm-3m (No. 225); the cell edges are 7.215, 7.215 and 7.215 Å and the angles 90.00°, 90.00° and 90.00°. The asymmetric unit holds Sr at (0.000, 0.000, 0.000), Sm at (0.000, 0.000, 0.500) and Pt at (0.250, 0.250, 0.250).